1.
# Li2In2Hg

An optimized crystal structure of Li2In2Hg (PBE, Alexandria).

Properties
Space group: No. 127
Energy relative to the lowest polymorph listed for this composition (meV/atom): 51

Unit cell a=7.1560 b=7.1560 c=4.1227 alpha=90.00 beta=90.00 gamma=90.00
Closest atoms and distances in Å follow each position.
Positions (direct):
In 0.3406 0.1594 0.5000  6 Li 2.87-2.99
In 0.6594 0.8406 0.5000  6 Li 2.87-2.99
In 0.1594 0.6594 0.5000  6 Li 2.87-2.99
In 0.8406 0.3406 0.5000  6 Li 2.87-2.99
Hg 0.0000 0.0000 0.0000  4 Li 2.75
Hg 0.5000 0.5000 0.0000  4 Li 2.75
Li 0.6427 0.1427 0.0000  2 Hg 2.75, 6 In 2.87-2.99, 1 Li 2.89
Li 0.3573 0.8573 0.0000  2 Hg 2.75, 6 In 2.87-2.99, 1 Li 2.89
Li 0.1427 0.3573 0.0000  2 Hg 2.75, 6 In 2.87-2.99, 1 Li 2.89
Li 0.8573 0.6427 0.0000  2 Hg 2.75, 6 In 2.87-2.99, 1 Li 2.89

2.
# Li5InHg4

An optimized crystal structure of Li5InHg4 (PBE, Alexandria).

Properties
Space group: No. 123

Unit cell a=3.3644 b=3.3644 c=16.4829 alpha=90.00 beta=90.00 gamma=90.00
Closest atoms and distances in Å follow each position.
Positions (direct):
Li 0.5000 0.5000 0.1125  4 Hg 2.85, 4 In 3.02, 1 Li 3.18
Li 0.5000 0.5000 0.6946  8 Hg 2.87, 2 Li 3.18-3.21
Li 0.5000 0.5000 0.5000  8 Hg 2.87, 2 Li 3.21
Li 0.5000 0.5000 0.8875  4 Hg 2.85, 4 In 3.02, 1 Li 3.18
Li 0.5000 0.5000 0.3054  8 Hg 2.87, 2 Li 3.18-3.21
Hg 0.0000 0.0000 0.2078  8 Li 2.85-2.87
Hg 0.0000 0.0000 0.7922  8 Li 2.85-2.87
Hg 0.0000 0.0000 0.4029  8 Li 2.87, 1 Hg 3.20
Hg 0.0000 0.0000 0.5971  8 Li 2.87, 1 Hg 3.20
In 0.0000 0.0000 0.0000  8 Li 3.02, 4 In 3.36

3.
# Li3In4Hg16

An optimized crystal structure of Li3In4Hg16 (PBE, Alexandria).

Properties
Space group: No. 2

Unit cell a=6.5918 b=7.9318 c=11.7323 alpha=89.99 beta=106.70 gamma=90.03
Closest atoms and distances in Å follow each position.
Positions (direct):
Hg 0.4087 0.7018 0.6177  2 Li 2.89-3.10, 2 In 3.10-3.13, 2 Hg 3.13-3.19
Hg 0.7431 0.2836 0.9681  1 Li 2.78
Hg 0.2368 0.0004 0.8358  1 Li 2.81, 1 In 3.01
Hg 0.7412 0.7174 0.9666  1 Li 2.78
Hg 0.0733 0.1934 0.3791  2 Li 2.93-3.16, 5 Hg 3.07-3.24
Hg 0.8442 0.4997 0.7627  1 In 3.05, 6 Hg 3.08-3.30
Hg 0.9267 0.8066 0.6209  2 Li 2.93-3.16, 5 Hg 3.07-3.24
Hg 0.0730 0.8066 0.3798  2 Li 2.92-3.16, 5 Hg 3.07-3.24
Hg 0.4089 0.2996 0.6162  2 Li 2.89-3.09, 2 In 3.09-3.13, 2 Hg 3.13-3.19
Hg 0.5911 0.7004 0.3838  2 Li 2.89-3.09, 2 In 3.09-3.13, 2 Hg 3.13-3.19
Hg 0.5913 0.2982 0.3823  2 Li 2.89-3.10, 2 In 3.10-3.13, 2 Hg 3.13-3.19
Hg 0.9270 0.1934 0.6202  2 Li 2.92-3.16, 5 Hg 3.07-3.24
Hg 0.1558 0.5003 0.2373  1 In 3.05, 6 Hg 3.08-3.30
Hg 0.2569 0.7164 0.0319  1 Li 2.78
Hg 0.2588 0.2826 0.0334  1 Li 2.78
Hg 0.7632 0.9996 0.1642  1 Li 2.81, 1 In 3.01
In 0.3522 0.9984 0.2271  2 Li 2.99-3.07, 7 Hg 3.01-3.29
In 0.3256 0.4982 0.8249  7 Hg 3.05-3.27
In 0.6744 0.5018 0.1751  7 Hg 3.05-3.27
In 0.6478 0.0016 0.7729  2 Li 2.99-3.07, 7 Hg 3.01-3.29
Li 0.0000 0.5000 0.5000  8 Hg 2.92-3.10
Li 0.5000 0.0000 0.5000  8 Hg 2.89-3.16, 2 In 3.07
Li 0.0000 0.0000 0.0000  6 Hg 2.78-2.81, 2 In 2.99

Summary of magnetic moment in μB per cell
0.0, 0.0, 0.0
(order as listed above)
Summary of energy relative to the elements in eV per atom
-0.18, -0.35, -0.07
(order as listed above)